! HfNbOs2 PBE optimized geometry; values from VASP
&SYSTEM
  ibrav = 0, nat = 4, ntyp = 3
/
ATOMIC_SPECIES
Hf 178.49 Hf.upf
Nb 92.91 Nb.upf
Os 190.23 Os.upf
CELL_PARAMETERS angstrom
0.000 3.204 3.204
3.204 0.000 3.204
3.204 3.204 0.000
ATOMIC_POSITIONS crystal
Hf 0.000 0.000 0.000
Nb 0.750 0.750 0.750
Os 0.250 0.250 0.250
Os 0.500 0.500 0.500
! - E (eV/atom) = -10.67
! - formation energy (meV per atom) = -44.3
! - SG = F-43m